Material: Th3GeH
Method: DFT, PBE
State: relaxed

abc: 4.873 4.873 4.873
angles: 90.00 90.00 90.00
Atoms (fractional coordinates):
Th 0.000 0.000 0.500
Th 0.000 0.500 0.000
Th 0.500 0.000 0.000
Ge 0.500 0.500 0.500
H 0.000 0.000 0.000

The value obtained for the uncorrected energy is -6.323 eV per atom.

Material: ScTc2Br
Method: DFT, PBE
State: relaxed

abc: 3.115 3.115 7.532
angles: 90.00 90.00 90.00
Atoms (fractional coordinates):
Sc 0.000 0.000 0.000
Tc 0.000 0.000 0.428
Tc 0.500 0.500 0.250
Br 0.500 0.500 0.743

The formation energy from raw total energies comes out at -11.1 kJ/mol of atoms.

Material: CsK2Na2
Method: DFT, PBE
State: relaxed

abc: 9.855 9.855 9.855
angles: 143.41 143.41 52.70
Atoms (fractional coordinates):
Cs 0.000 0.000 0.000
K 0.250 0.750 0.500
K 0.750 0.250 0.500
Na 0.403 0.403 0.000
Na 0.597 0.597 0.000

Its formation enthalpy at 0 K is 0.04 eV/atom.

Material: LiSn3Au3
Method: DFT, PBE
State: relaxed

abc: 5.593 5.593 5.593
angles: 99.73 99.73 99.73
Atoms (fractional coordinates):
Li 0.000 0.000 0.000
Sn 0.000 0.500 0.500
Sn 0.500 0.000 0.500
Sn 0.500 0.500 0.000
Au 0.000 0.000 0.500
Au 0.000 0.500 0.000
Au 0.500 0.000 0.000

Its formation enthalpy at 0 K is -0.11 eV/atom.

Material: LiOsI2O
Method: DFT, PBE
State: relaxed

abc: 5.179 5.179 3.377
angles: 90.00 90.00 90.00
Atoms (fractional coordinates):
Li 0.000 0.000 0.000
Os 0.500 0.500 0.500
I 0.000 0.500 0.000
I 0.500 0.000 0.000
O 0.000 0.000 0.500

The formation energy from raw total energies comes out at 71.0 kJ/mol of atoms.

Material: Pr3Ga2H
Method: DFT, PBE
State: relaxed

abc: 6.723 6.723 8.210
angles: 102.70 102.70 56.65
Atoms (fractional coordinates):
Pr 0.097 0.903 0.750
Pr 0.248 0.464 0.363
Pr 0.464 0.248 0.863
Pr 0.536 0.752 0.137
Pr 0.752 0.536 0.637
Pr 0.903 0.097 0.250
Ga 0.028 0.306 0.024
Ga 0.306 0.028 0.524
Ga 0.694 0.972 0.476
Ga 0.972 0.694 0.976
H 0.456 0.544 0.750
H 0.544 0.456 0.250

The value obtained for the uncorrected energy is -4.413 eV per atom.

Material: V2NiHg2S6
Method: DFT, PBE
State: relaxed

abc: 5.738 5.738 9.151
angles: 96.31 96.31 120.48
Atoms (fractional coordinates):
V 0.161 0.839 0.000
V 0.839 0.161 0.000
Ni 0.500 0.500 0.000
Hg 0.251 0.749 0.500
Hg 0.749 0.251 0.500
S 0.123 0.123 0.844
S 0.233 0.557 0.151
S 0.443 0.767 0.849
S 0.557 0.233 0.151
S 0.767 0.443 0.849
S 0.877 0.877 0.156

The formation energy from raw total energies comes out at -46.8 kJ/mol of atoms.

Material: YReSb2I
Method: DFT, PBE
State: relaxed

abc: 5.858 5.858 5.801
angles: 90.00 90.00 90.00
Atoms (fractional coordinates):
Y 0.000 0.000 0.000
Re 0.500 0.500 0.500
Sb 0.000 0.500 0.000
Sb 0.500 0.000 0.000
I 0.000 0.000 0.500

The formation energy from raw total energies comes out at 121.1 kJ/mol of atoms.

Material: Fe2CuNiPt2
Method: DFT, PBE
State: relaxed

abc: 8.370 8.548 2.641
angles: 90.00 90.00 90.00
Atoms (fractional coordinates):
Fe 0.240 0.056 0.000
Fe 0.260 0.556 0.500
Fe 0.740 0.444 0.500
Fe 0.760 0.944 0.000
Cu 0.000 0.500 0.000
Cu 0.500 0.000 0.500
Ni 0.000 0.000 0.500
Ni 0.500 0.500 0.000
Pt 0.126 0.776 0.000
Pt 0.374 0.276 0.500
Pt 0.626 0.724 0.500
Pt 0.874 0.224 0.000

Its formation enthalpy at 0 K is 0.27 eV/atom.

Material: ScRuN3
Method: DFT, PBE
State: relaxed

abc: 3.976 3.976 3.976
angles: 90.00 90.00 90.00
Atoms (fractional coordinates):
Sc 0.000 0.000 0.000
Ru 0.500 0.500 0.500
N 0.000 0.000 0.500
N 0.000 0.500 0.000
N 0.500 0.000 0.000

The formation energy from raw total energies comes out at 155.0 kJ/mol of atoms.

Material: LaInSe3
Method: DFT, PBE
State: relaxed

abc: 5.797 5.797 5.797
angles: 90.00 90.00 90.00
Atoms (fractional coordinates):
La 0.000 0.000 0.000
In 0.500 0.500 0.500
Se 0.000 0.000 0.500
Se 0.000 0.500 0.000
Se 0.500 0.000 0.000

The formation energy from raw total energies comes out at -54.0 kJ/mol of atoms.

Material: NaEuTlGa
Method: DFT, PBE
State: relaxed

abc: 5.334 5.334 5.334
angles: 60.00 60.00 60.00
Atoms (fractional coordinates):
Na 0.000 0.000 0.000
Eu 0.500 0.500 0.500
Tl 0.250 0.250 0.250
Ga 0.750 0.750 0.750

Its formation enthalpy at 0 K is -0.24 eV/atom.

Material: HfPPtS2
Method: DFT, PBE
State: relaxed

abc: 4.633 4.633 4.655
angles: 90.00 90.00 90.00
Atoms (fractional coordinates):
Hf 0.000 0.000 0.000
P 0.500 0.500 0.000
Pt 0.500 0.500 0.500
S 0.000 0.500 0.500
S 0.500 0.000 0.500

The formation energy from raw total energies comes out at 30.5 kJ/mol of atoms.

Material: ZrBe4Fe
Method: DFT, PBE
State: relaxed

abc: 4.468 4.468 4.468
angles: 60.00 60.00 60.00
Atoms (fractional coordinates):
Zr 0.000 0.000 0.000
Be 0.131 0.623 0.623
Be 0.623 0.131 0.623
Be 0.623 0.623 0.131
Be 0.623 0.623 0.623
Fe 0.250 0.250 0.250

Its formation enthalpy at 0 K is -0.26 eV/atom.

Material: VMoS4
Method: DFT, PBE
State: relaxed

abc: 6.917 6.917 5.517
angles: 99.15 99.15 26.61
Atoms (fractional coordinates):
V 0.000 0.000 0.000
Mo 0.500 0.500 0.500
S 0.116 0.116 0.372
S 0.386 0.386 0.113
S 0.614 0.614 0.887
S 0.884 0.884 0.628

The formation energy from raw total energies comes out at -70.6 kJ/mol of atoms.

Material: YMgFe2
Method: DFT, PBE
State: relaxed

abc: 4.471 4.471 3.566
angles: 90.00 90.00 90.00
Atoms (fractional coordinates):
Y 0.000 0.000 0.000
Mg 0.500 0.500 0.000
Fe 0.000 0.500 0.500
Fe 0.500 0.000 0.500

Its formation enthalpy at 0 K is 0.32 eV/atom.

Material: SrPaPdSe4
Method: DFT, PBE
State: relaxed

abc: 7.205 5.839 8.852
angles: 90.00 111.10 90.00
Atoms (fractional coordinates):
Sr 0.245 0.250 0.444
Sr 0.755 0.750 0.556
Pa 0.224 0.250 0.941
Pa 0.776 0.750 0.059
Pd 0.261 0.750 0.209
Pd 0.739 0.250 0.791
Se 0.052 0.750 0.377
Se 0.067 0.750 0.906
Se 0.458 0.512 0.784
Se 0.458 0.988 0.784
Se 0.542 0.012 0.216
Se 0.542 0.488 0.216
Se 0.933 0.250 0.094
Se 0.948 0.250 0.623

The formation energy from raw total energies comes out at -119.8 kJ/mol of atoms.

Material: AlRuSe2F
Method: DFT, PBE
State: relaxed

abc: 4.713 4.713 4.947
angles: 90.00 90.00 90.00
Atoms (fractional coordinates):
Al 0.000 0.000 0.000
Ru 0.000 0.000 0.500
Se 0.000 0.500 0.500
Se 0.500 0.000 0.500
F 0.500 0.500 0.000

The formation energy from raw total energies comes out at -8.1 kJ/mol of atoms.

Material: Sm2MnGa3Rh4
Method: DFT, PBE
State: relaxed

abc: 4.191 4.191 10.497
angles: 90.00 90.00 90.00
Atoms (fractional coordinates):
Sm 0.000 0.500 0.241
Sm 0.500 0.000 0.759
Mn 0.000 0.000 0.500
Ga 0.000 0.500 0.874
Ga 0.500 0.000 0.126
Ga 0.500 0.500 0.500
Rh 0.000 0.000 0.000
Rh 0.000 0.500 0.638
Rh 0.500 0.000 0.362
Rh 0.500 0.500 0.000

Its formation enthalpy at 0 K is -0.69 eV/atom.

Material: ZnInAuCl
Method: DFT, PBE
State: relaxed

abc: 3.801 3.803 7.709
angles: 90.00 89.83 60.01
Atoms (fractional coordinates):
Zn 0.000 0.000 0.000
In 0.337 0.331 0.578
Au 0.668 0.666 0.817
Cl 0.001 0.998 0.301

The formation energy from raw total energies comes out at -36.6 kJ/mol of atoms.

Material: FeTcCl2
Method: DFT, PBE
State: relaxed

abc: 3.454 3.454 8.432
angles: 95.91 95.91 53.95
Atoms (fractional coordinates):
Fe 0.000 0.000 0.000
Tc 0.246 0.246 0.835
Cl 0.339 0.339 0.183
Cl 0.685 0.685 0.619

The formation energy from raw total energies comes out at -4.0 kJ/mol of atoms.

Material: Ca2YTiTc
Method: DFT, PBE
State: relaxed

abc: 5.732 5.732 4.729
angles: 90.00 90.00 90.00
Atoms (fractional coordinates):
Ca 0.000 0.500 0.000
Ca 0.500 0.000 0.000
Y 0.000 0.000 0.000
Ti 0.500 0.500 0.500
Tc 0.000 0.000 0.500

Its formation enthalpy at 0 K is 1.53 eV/atom.

Material: SrCa2InSb
Method: DFT, PBE
State: relaxed

abc: 6.259 6.259 5.797
angles: 90.00 90.00 90.00
Atoms (fractional coordinates):
Sr 0.000 0.000 0.000
Ca 0.000 0.500 0.000
Ca 0.500 0.000 0.000
In 0.000 0.000 0.500
Sb 0.500 0.500 0.500

The formation energy from raw total energies comes out at 78.8 kJ/mol of atoms.

Material: Sr2Ga4GePd3
Method: DFT, PBE
State: relaxed

abc: 4.366 4.366 10.835
angles: 90.00 90.00 90.00
Atoms (fractional coordinates):
Sr 0.000 0.500 0.249
Sr 0.500 0.000 0.751
Ga 0.000 0.000 0.000
Ga 0.000 0.500 0.637
Ga 0.500 0.000 0.363
Ga 0.500 0.500 0.000
Ge 0.000 0.000 0.500
Pd 0.000 0.500 0.873
Pd 0.500 0.000 0.127
Pd 0.500 0.500 0.500

Its formation enthalpy at 0 K is -0.64 eV/atom.

Material: La5CeGa6
Method: DFT, PBE
State: relaxed

abc: 9.192 9.192 5.312
angles: 106.74 106.74 47.97
Atoms (fractional coordinates):
La 0.000 0.000 0.000
La 0.165 0.165 0.664
La 0.330 0.330 0.331
La 0.670 0.670 0.669
La 0.835 0.835 0.336
Ce 0.500 0.500 0.000
Ga 0.089 0.581 0.836
Ga 0.258 0.742 0.500
Ga 0.419 0.911 0.164
Ga 0.581 0.089 0.836
Ga 0.742 0.258 0.500
Ga 0.911 0.419 0.164

Its formation enthalpy at 0 K is -0.55 eV/atom.

Material: CsVS2
Method: DFT, PBE
State: relaxed

abc: 7.317 4.761 11.490
angles: 90.00 90.00 90.00
Atoms (fractional coordinates):
Cs 0.104 0.250 0.111
Cs 0.396 0.750 0.611
Cs 0.604 0.250 0.389
Cs 0.896 0.750 0.889
V 0.050 0.750 0.371
V 0.450 0.250 0.871
V 0.550 0.750 0.129
V 0.950 0.250 0.629
S 0.083 0.250 0.434
S 0.174 0.250 0.767
S 0.326 0.750 0.267
S 0.417 0.750 0.934
S 0.583 0.250 0.066
S 0.674 0.250 0.733
S 0.826 0.750 0.233
S 0.917 0.750 0.566

The formation energy from raw total energies comes out at -91.8 kJ/mol of atoms.